The following is a DFT calculation (GGA-PBE) of crystalline ZnIrF6 at its relaxed geometry.

Cell and atoms, written as POSCAR:
```
ZnIrF6
1.0
-1.3790 4.7979 -0.7701
-3.3040 -3.7366 -0.7975
-2.8609 0.6166 8.9644
Zn Ir F
2 2 12
Direct
0.3333 0.6667 0.2500 Zn
0.6667 0.3333 0.7500 Zn
0.0000 0.0000 0.5000 Ir
0.0000 0.0000 0.0000 Ir
0.3090 0.3243 0.3782 F
0.6910 0.6757 0.6218 F
0.0152 0.6910 0.3782 F
0.3090 0.9848 0.1218 F
0.9848 0.3090 0.6218 F
0.6910 0.0152 0.8782 F
0.6757 0.9848 0.3782 F
0.0152 0.3243 0.1218 F
0.3243 0.0152 0.6218 F
0.9848 0.6757 0.8782 F
0.6757 0.6910 0.1218 F
0.3243 0.3090 0.8782 F
```

## Properties
The value obtained for the uncorrected energy is -0.1627 Ha/atom. For the density of states at the Fermi level, the calculation gives 16.89 states/eV/cell.